No. 1
Material: HgGePb
Method: DFT, PBE
State: relaxed

Computed properties:
- E_form: 0.195 eV per atom
- Size of the total moment: 0.00 μB/atom
- Distance to the lowest polymorph of the same formula: 0.076 eV/atom

Cell: 3.6721 3.6721 6.2196 Å, 107.17 107.17 90.00°
Positions (direct):
1 Hg 0.9828 0.9828 0.9655
2 Ge 0.3429 0.3429 0.6857
3 Pb 0.6744 0.6744 0.3487

=====

No. 2
Material: KRbGa2
Method: DFT, PBE
State: relaxed

Computed properties:
- E_form: 0.293 eV per atom
- Size of the total moment: 0.00 μB/atom
- Distance to the lowest polymorph of the same formula: 0.378 eV/atom

Cell: 5.9139 5.9139 5.9139 Å, 60.00 60.00 60.00°
Positions (direct):
1 Rb 0.5000 0.5000 0.5000
2 K 0.0000 0.0000 0.0000
3 Ga 0.7500 0.7500 0.7500
4 Ga 0.2500 0.2500 0.2500

=====

No. 3
Material: Sn2H3Cl4
Method: DFT, PBE
State: relaxed

Computed properties:
- Size of the total moment: 0.00 μB/atom
- E_tot: -29.57 eV/cell

Cell: 7.2900 3.9925 9.4814 Å, 73.04 114.44 126.84°
Positions (direct):
1 Cl 0.2381 0.4400 0.0049
2 Sn 0.2753 0.6494 0.7099
3 H 0.2898 0.1666 0.7090
4 Sn 0.7247 0.3506 0.2901
5 Cl 0.8111 0.2123 0.6166
6 H 0.7102 0.8334 0.2910
7 Cl 0.1889 0.7877 0.3834
8 Cl 0.7619 0.5600 0.9951
9 H 0.0000 0.0000 0.0000

=====

No. 4
Material: ZrAl2Cu3
Method: DFT, PBE
State: relaxed

Computed properties:
- E_form: -0.128 eV per atom
- Size of the total moment: 0.00 μB/atom
- Distance to the lowest polymorph of the same formula: 0.137 eV/atom

Cell: 5.7679 5.7679 6.3839 Å, 90.00 90.00 120.01°
Positions (direct):
1 Zr 0.6667 0.3333 0.6307
2 Al 0.0000 0.0000 0.0000
3 Cu 0.8492 0.6984 0.3196
4 Cu 0.3016 0.1508 0.3196
5 Al 0.5000 0.0000 0.0000
6 Cu 0.6984 0.8492 0.6804
7 Cu 0.1508 0.3016 0.6804
8 Zr 0.3333 0.6667 0.3693
9 Cu 0.1508 0.8492 0.6804
10 Al 0.5000 0.5000 0.0000
11 Cu 0.8492 0.1508 0.3196
12 Al 0.0000 0.5000 0.0000

=====

No. 5
Material: Ba4AsH5
Method: DFT, PBE
State: relaxed

Computed properties:
- Size of the total moment: 0.00 μB/atom
- E_tot: -35.10 eV/cell

Cell: 4.4773 7.7621 7.7882 Å, 101.68 106.71 90.00°
Positions (direct):
1 H 0.5000 0.5000 0.0000
2 H 0.1700 0.5383 0.3400
3 Ba 0.3545 0.6373 0.7090
4 Ba 0.8792 0.1521 0.7583
5 Ba 0.1208 0.8479 0.2417
6 H 0.8300 0.4617 0.6600
7 H 0.7557 0.8176 0.5114
8 Ba 0.6455 0.3627 0.2910
9 As 0.5000 0.0000 0.0000
10 H 0.2443 0.1824 0.4886

=====

No. 6
Material: Cr2CoRh2
Method: DFT, PBE
State: relaxed

Computed properties:
- E_form: 0.280 eV per atom
- Size of the total moment: 0.00 μB/atom
- Distance to the lowest polymorph of the same formula: 0.000 eV/atom

Cell: 7.0253 7.0253 2.6811 Å, 90.00 90.00 90.00°
Positions (direct):
1 Co 0.5000 0.5000 0.0000
2 Cr 0.1154 0.3846 0.0000
3 Cr 0.3846 0.8846 0.0000
4 Rh 0.3220 0.1780 0.5000
5 Cr 0.6154 0.1154 0.0000
6 Cr 0.8846 0.6154 0.0000
7 Rh 0.1780 0.6780 0.5000
8 Rh 0.6780 0.8220 0.5000
9 Rh 0.8220 0.3220 0.5000
10 Co 0.0000 0.0000 0.0000

=====

No. 7
Material: Zr2TeI
Method: DFT, PBE
State: relaxed

Computed properties:
- Size of the total moment: 0.00 μB/atom
- Distance to the lowest polymorph of the same formula: 0.000 eV/atom
- E_form (uncorrected): -397 meV/atom

Cell: 5.0725 5.0725 5.0725 Å, 60.00 60.00 60.00°
Positions (direct):
1 Zr 0.2500 0.2500 0.2500
2 Zr 0.7500 0.7500 0.7500
3 Te 0.0000 0.0000 0.0000
4 I 0.5000 0.5000 0.5000

=====

No. 8
Material: TiCo4Pt
Method: DFT, PBE
State: relaxed

Computed properties:
- E_form: -0.280 eV per atom
- Size of the total moment: 0.95 μB/atom

Cell: 4.7280 4.7280 4.7280 Å, 60.00 60.00 60.00°
Positions (direct):
1 Co 0.1235 0.6255 0.6255
2 Co 0.6255 0.6255 0.6255
3 Ti 0.2500 0.2500 0.2500
4 Pt 0.0000 0.0000 0.0000
5 Co 0.6255 0.6255 0.1235
6 Co 0.6255 0.1235 0.6255

=====

No. 9
Material: CsGa5Hg4Se12
Method: DFT, PBE
State: relaxed

Computed properties:
- Size of the total moment: 0.00 μB/atom
- E_form (uncorrected): -551 meV/atom

Cell: 9.1295 9.1494 9.1926 Å, 107.11 108.12 107.52°
Positions (direct):
1 Hg 0.1920 0.5643 0.0181
2 Se 0.5587 0.8800 0.6338
3 Cs 0.9904 0.9922 0.9919
4 Hg 0.7095 0.3901 0.6329
5 Se 0.8825 0.6384 0.5678
6 Ga 0.5596 0.0284 0.1877
7 Se 0.9267 0.2699 0.7675
8 Se 0.2327 0.0814 0.6851
9 Se 0.6408 0.5535 0.8819
10 Se 0.4252 0.1346 0.3624
11 Hg 0.4043 0.6399 0.7193
12 Se 0.1417 0.3711 0.4349
13 Se 0.7835 0.9387 0.2899
14 Se 0.3049 0.8134 0.9335
15 Ga 0.9401 0.4910 0.3445
16 Ga 0.0186 0.1853 0.5519
17 Se 0.3754 0.4152 0.1461
18 Se 0.0661 0.6971 0.2436
19 Se 0.6973 0.2369 0.0854
20 Ga 0.3293 0.9330 0.4799
21 Hg 0.6317 0.7065 0.3953
22 Ga 0.4835 0.3336 0.9413

=====

No. 10
Material: GeBi2P
Method: DFT, PBE
State: relaxed

Computed properties:
- E_form: 0.399 eV per atom
- Size of the total moment: 0.00 μB/atom
- Distance to the lowest polymorph of the same formula: 0.015 eV/atom

Cell: 5.1684 5.1684 5.1684 Å, 60.00 60.00 60.00°
Positions (direct):
1 Bi 0.7500 0.7500 0.7500
2 Ge 0.5000 0.5000 0.5000
3 Bi 0.2500 0.2500 0.2500
4 P 0.0000 0.0000 0.0000

=====

No. 11
Material: PmPu2MgO8
Method: DFT, PBE
State: relaxed

Computed properties:
- Size of the total moment: 0.42 μB/atom
- E_form (uncorrected): -2747 meV/atom

Cell: 5.3170 5.3170 6.4724 Å, 114.25 114.25 90.00°
Positions (direct):
1 Pu 0.5000 0.5000 0.0000
2 Pm 0.0000 0.0000 0.0000
3 O 0.8663 0.3867 0.2742
4 O 0.6133 0.5921 0.7258
5 O 0.5966 0.1217 0.7646
6 O 0.1680 0.6429 0.7646
7 O 0.3571 0.4034 0.2354
8 O 0.1125 0.1337 0.7258
9 Mg 0.7500 0.2500 0.5000
10 O 0.8783 0.8320 0.2354
11 Pu 0.2500 0.7500 0.5000
12 O 0.4079 0.8875 0.2742

=====

No. 12
Material: LiTlHRh
Method: DFT, PBE
State: relaxed

Computed properties:
- Size of the total moment: 0.00 μB/atom
- E_tot: -31.57 eV/cell

Cell: 3.9082 3.9082 7.2812 Å, 90.00 90.00 90.00°
Positions (direct):
1 Rh 0.5000 0.0000 0.7890
2 Tl 0.0000 0.5000 0.8230
3 Rh 0.0000 0.5000 0.2110
4 Li 0.5000 0.5000 0.5000
5 Li 0.0000 0.0000 0.5000
6 H 0.5000 0.0000 0.5612
7 H 0.0000 0.5000 0.4388
8 Tl 0.5000 0.0000 0.1770

=====

Question: Which value of size of the total moment does entry 12 give?
Answer: 0.00 μB/atom